Entry 1:
Crystalline YEr2Sc2 at its relaxed geometry, computed with GGA-PBE.

Formation enthalpy at 0 K, meV per atom: 48
Raw total energy, eV/f.u.: -28.01
Excess energy over the best structure of this formula in the dataset, eV/f.u.: 0.00
Crystal system: monoclinic
D(E_F), states/eV/f.u.: 8.028
M_tot, Bohr magnetons per cell: 0.00
Space-group type: P2_1/c, No. 14

Unit cell a=5.974 b=6.901 c=13.932 alpha=90.00 beta=98.12 gamma=90.00
Fractional coordinates of all 20 atoms:
Er 0.147 0.373 0.697
Er 0.120 0.124 0.098
Sc 0.748 0.875 0.500
Er 0.880 0.876 0.902
Er 0.380 0.624 0.902
Y 0.149 0.877 0.697
Sc 0.115 0.626 0.100
Er 0.353 0.873 0.303
Sc 0.885 0.374 0.900
Y 0.649 0.623 0.697
Sc 0.385 0.126 0.900
Y 0.851 0.123 0.303
Er 0.647 0.127 0.697
Er 0.853 0.627 0.303
Sc 0.252 0.125 0.500
Y 0.351 0.377 0.303
Sc 0.248 0.625 0.500
Sc 0.752 0.375 0.500
Er 0.620 0.376 0.098
Sc 0.615 0.874 0.100

---

Entry 2:
Crystalline Mo2Br3 at its relaxed geometry, computed with GGA-PBE.

Raw total energy, eV/f.u.: -26.82
Excess energy over the best structure of this formula in the dataset, eV/f.u.: 0.24
Crystal system: orthorhombic
D(E_F), states/eV/f.u.: 2.105
M_tot, Bohr magnetons per cell: 0.00
Formation energy from raw total energies, eV/atom: -0.028
Space-group type: Fdd2, No. 43

Unit cell a=6.865 b=7.660 c=6.882 alpha=56.03 beta=67.72 gamma=56.25
Fractional coordinates of all 10 atoms:
Br 0.271 0.229 0.229
Mo 0.133 0.670 0.815
Br 0.714 0.602 0.435
Br 0.021 0.979 0.979
Mo 0.580 0.117 0.867
Mo 0.435 0.867 0.117
Br 0.648 0.536 0.001
Br 0.815 0.001 0.536
Br 0.249 0.435 0.602
Mo 0.383 0.815 0.670

---

Entry 3:
Crystalline Cr2InHg2S6 at its relaxed geometry, computed with GGA-PBE.

Raw total energy, eV/f.u.: -51.86
Crystal system: monoclinic
D(E_F), states/eV/f.u.: 2.044
M_tot, Bohr magnetons per cell: 5.34
Formation energy from raw total energies, eV/atom: -0.409
Space-group type: C2/m, No. 12

Unit cell a=6.365 b=6.365 c=7.957 alpha=79.80 beta=79.80 gamma=120.67
Fractional coordinates of all 11 atoms:
S 0.713 0.078 0.329
Cr 0.655 0.345 0.500
Hg 0.131 0.869 0.000
S 0.443 0.443 0.317
Cr 0.345 0.655 0.500
In 0.000 0.000 0.500
Hg 0.869 0.131 0.000
S 0.287 0.922 0.671
S 0.922 0.287 0.671
S 0.557 0.557 0.683
S 0.078 0.713 0.329

---

Entry 4:
Crystalline K2Ba2Bi at its relaxed geometry, computed with GGA-PBE.

Formation enthalpy at 0 K, meV per atom: -198
Raw total energy, eV/f.u.: -10.91
Crystal system: tetragonal
D(E_F), states/eV/f.u.: 6.720
M_tot, Bohr magnetons per cell: 0.00
Space-group type: P4/mbm, No. 127

Unit cell a=9.291 b=9.291 c=7.400 alpha=90.00 beta=90.00 gamma=90.00
Fractional coordinates of all 10 atoms:
K 0.333 0.167 0.500
Ba 0.332 0.832 0.000
Ba 0.832 0.668 0.000
K 0.667 0.833 0.500
Bi 0.500 0.500 0.000
Ba 0.168 0.332 0.000
K 0.833 0.333 0.500
Bi 0.000 0.000 0.000
Ba 0.668 0.168 0.000
K 0.167 0.667 0.500

---

Entry 5:
Crystalline LaDySiPd at its relaxed geometry, computed with GGA-PBE.

Raw total energy, eV/f.u.: -22.81
Crystal system: cubic
D(E_F), states/eV/f.u.: 1.850
M_tot, Bohr magnetons per cell: 0.00
Formation energy from raw total energies, eV/atom: -0.667
Space-group type: F-43m, No. 216

Unit cell a=5.117 b=5.117 c=5.117 alpha=60.00 beta=60.00 gamma=60.00
Fractional coordinates of all 4 atoms:
Dy 0.500 0.500 0.500
La 0.000 0.000 0.000
Pd 0.250 0.250 0.250
Si 0.750 0.750 0.750

---

Entry 6:
Crystalline Dy4GaC at its relaxed geometry, computed with GGA-PBE.

Formation enthalpy at 0 K, meV per atom: -240
Raw total energy, eV/f.u.: -32.10
Crystal system: monoclinic
D(E_F), states/eV/f.u.: 7.577
M_tot, Bohr magnetons per cell: 0.00
Space-group type: C2/c, No. 15

Unit cell a=6.181 b=7.149 c=8.148 alpha=109.99 beta=105.50 gamma=104.79
Fractional coordinates of all 12 atoms:
C 0.822 0.072 0.143
Ga 0.368 0.618 0.237
Dy 0.708 0.060 0.401
Dy 0.580 0.277 0.093
Dy 0.014 0.816 0.093
Dy 0.807 0.659 0.599
Dy 0.986 0.184 0.907
Dy 0.292 0.940 0.599
Dy 0.193 0.341 0.401
Dy 0.420 0.723 0.907
C 0.178 0.928 0.857
Ga 0.632 0.382 0.763

---

Entry 7:
Crystalline Zn2CdIr at its relaxed geometry, computed with GGA-PBE.

Formation enthalpy at 0 K, meV per atom: 66
Raw total energy, eV/f.u.: -12.06
Crystal system: cubic
D(E_F), states/eV/f.u.: 1.153
M_tot, Bohr magnetons per cell: 0.00
Space-group type: F-43m, No. 216

Unit cell a=4.482 b=4.482 c=4.482 alpha=60.00 beta=60.00 gamma=60.00
Fractional coordinates of all 4 atoms:
Zn 0.250 0.250 0.250
Ir 0.750 0.750 0.750
Cd 0.500 0.500 0.500
Zn 0.000 0.000 0.000

---

Entry 8:
Crystalline Hf4ZrMn at its relaxed geometry, computed with GGA-PBE.

Formation enthalpy at 0 K, meV per atom: 253
Raw total energy, eV/f.u.: -56.01
Crystal system: monoclinic
D(E_F), states/eV/f.u.: 8.334
M_tot, Bohr magnetons per cell: 0.00
Space-group type: C2/m, No. 12

Unit cell a=3.136 b=5.379 c=8.265 alpha=76.17 beta=79.06 gamma=73.05
Fractional coordinates of all 6 atoms:
Mn 0.000 0.000 0.000
Zr 0.500 0.500 0.500
Hf 0.832 0.021 0.314
Hf 0.168 0.979 0.686
Hf 0.625 0.624 0.127
Hf 0.375 0.376 0.873

---

Copy entry 7 word for word.
Crystalline Zn2CdIr at its relaxed geometry, computed with GGA-PBE.

Formation enthalpy at 0 K, meV per atom: 66
Raw total energy, eV/f.u.: -12.06
Crystal system: cubic
D(E_F), states/eV/f.u.: 1.153
M_tot, Bohr magnetons per cell: 0.00
Space-group type: F-43m, No. 216

Unit cell a=4.482 b=4.482 c=4.482 alpha=60.00 beta=60.00 gamma=60.00
Fractional coordinates of all 4 atoms:
Zn 0.250 0.250 0.250
Ir 0.750 0.750 0.750
Cd 0.500 0.500 0.500
Zn 0.000 0.000 0.000

---

> What is the D(E_F) in the first record?

8.028 states/eV/f.u.

---

> Look up the M_tot of the fifth one.

0.00 Bohr magnetons per cell